Entry 1:
LiTl5 | PBE | relaxed

Cell lengths 3.5245, 5.2131, 9.8026 Å; angles 90.00, 100.36, 90.00 degrees
With the nearest neighbours (Å) after each atom.
Fractional positions:
Tl  0.5000  0.5000  0.0000  4 Li 3.15
Tl  0.3751  0.0000  0.7502  2 Li 2.98, 4 Tl 3.29
Tl  0.6249  0.0000  0.2498  2 Li 2.98, 4 Tl 3.29
Tl  0.1744  0.5000  0.3488  8 Tl 3.29-3.52
Li  0.0000  0.0000  0.0000  8 Tl 2.98-3.15
Tl  0.8256  0.5000  0.6512  8 Tl 3.29-3.52

Results
Crystal system   orthorhombic
Relative energy among the computed polymorphs   62 meV per atom
DOS at the Fermi energy   2.9 states/eV/f.u.

---

Entry 2:
NaZnRhF6 | PBE | relaxed

Cell lengths 5.4014, 5.4014, 9.7600 Å; angles 90.00, 90.00, 120.00 degrees
With the nearest neighbours (Å) after each atom.
Fractional positions:
F  0.3598  0.0088  0.6401  1 Rh 2.02, 1 Zn 2.08
F  0.6402  0.9912  0.3599  1 Rh 2.02, 1 Zn 2.08
F  0.3511  0.3598  0.3599  1 Rh 2.02, 1 Zn 2.08
Zn  0.3333  0.6667  0.7500  6 F 2.08
F  0.9912  0.6402  0.8599  1 Rh 2.02, 1 Zn 2.08
Rh  0.3333  0.6667  0.2500  6 F 2.02
Rh  0.6667  0.3333  0.7500  6 F 2.02
F  0.6402  0.6489  0.1401  1 Rh 2.02, 1 Zn 2.08
F  0.3598  0.3511  0.8599  1 Rh 2.02, 1 Zn 2.08
F  0.0088  0.3598  0.1401  1 Rh 2.02, 1 Zn 2.08
Zn  0.6667  0.3333  0.2500  6 F 2.08
Na  0.0000  0.0000  0.0000  6 F 2.36
F  0.3511  0.9912  0.1401  1 Rh 2.02, 1 Zn 2.08
Na  0.0000  0.0000  0.5000  6 F 2.36
F  0.0088  0.6489  0.3599  1 Rh 2.02, 1 Zn 2.08
F  0.6489  0.0088  0.8599  1 Rh 2.02, 1 Zn 2.08
F  0.9912  0.3511  0.6401  1 Rh 2.02, 1 Zn 2.08
F  0.6489  0.6402  0.6401  1 Rh 2.02, 1 Zn 2.08

Results
Formation energy from raw total energies   -2.10 eV/atom
Crystal system   trigonal
DOS at the Fermi energy   0.0 states/eV/f.u.

---

Entry 3:
CsPm2Hg2O6 | PBE | relaxed

Cell lengths 6.7971, 8.1051, 7.4598 Å; angles 128.13, 96.93, 58.57 degrees
With the nearest neighbours (Å) after each atom.
Fractional positions:
O  0.5950  0.4480  0.1438  1 Hg 2.00
O  0.4050  0.5520  0.8562  1 Hg 2.00
Hg  0.2165  0.7205  0.7238  2 O 2.00
O  0.0331  0.8823  0.5850  1 Hg 2.00
Hg  0.7835  0.2795  0.2762  2 O 2.00
Cs  0.5000  0.0000  0.5000  6 O 3.08-3.32
O  0.9669  0.1177  0.4150  1 Hg 2.00
O  0.8550  0.6778  0.0181  2 Pm 2.28-2.29, 1 O 2.35
O  0.1450  0.3222  0.9819  2 Pm 2.28-2.29, 1 O 2.35
Pm  0.1711  0.6595  0.1713  6 O 2.28-2.43
Pm  0.8289  0.3405  0.8287  6 O 2.28-2.43

Results
Formation energy from raw total energies   -1.77 eV/atom
Crystal system   triclinic

---

Entry 4:
Sc3AsH | PBE | relaxed

Cell lengths 3.5920, 6.7076, 7.4117 Å; angles 97.09, 90.00, 90.00 degrees
With the nearest neighbours (Å) after each atom.
Fractional positions:
As  0.2500  0.3579  0.2360  8 Sc 2.68-2.96
Sc  0.7500  0.2799  0.9550  1 H 2.38
Sc  0.2500  0.7201  0.0450  1 H 2.38
Sc  0.2500  0.3702  0.6202  2 H 2.32
As  0.7500  0.6421  0.7640  8 Sc 2.68-2.96
H  0.2500  0.8451  0.3599  6 Sc 2.20-2.39
Sc  0.2500  0.9239  0.6573  3 H 2.20-2.39
H  0.7500  0.1549  0.6401  6 Sc 2.20-2.39
Sc  0.7500  0.6298  0.3798  2 H 2.32
Sc  0.7500  0.0761  0.3427  3 H 2.20-2.39

Results
Crystal system   monoclinic
Relative energy among the computed polymorphs   0 meV per atom
DOS at the Fermi energy   5.9 states/eV/f.u.

---

Entry 5:
Zr3Ti3Hg2C | PBE | relaxed

Cell lengths 3.3936, 7.5135, 7.5135 Å; angles 120.00, 90.00, 90.00 degrees
With the nearest neighbours (Å) after each atom.
Fractional positions:
Ti  0.5000  0.2107  0.2107  2 C 2.32
Zr  0.0000  0.6362  0.6362  1 C 2.73, 4 Ti 2.92, 4 Hg 2.94
Hg  0.5000  0.3333  0.6667  6 Zr 2.94, 3 Ti 3.07
Zr  0.0000  0.3638  0.0000  1 C 2.73, 4 Ti 2.92, 4 Hg 2.94
Zr  0.0000  0.0000  0.3638  1 C 2.73, 4 Ti 2.92, 4 Hg 2.94
Hg  0.5000  0.6667  0.3333  6 Zr 2.94, 3 Ti 3.07
Ti  0.5000  0.0000  0.7893  2 C 2.32
Ti  0.5000  0.7893  0.0000  2 C 2.32
C  0.0000  0.0000  0.0000  6 Ti 2.32

Results
Raw total energy   -6.73 eV/atom
Crystal system   hexagonal
DOS at the Fermi energy   10.4 states/eV/f.u.

---

Entry 6:
ZrOs2Rh | PBE | relaxed

Cell lengths 4.5038, 4.5038, 4.5038 Å; angles 60.00, 60.00, 60.00 degrees
With the nearest neighbours (Å) after each atom.
Fractional positions:
Zr  0.0000  0.0000  0.0000  8 Os 2.76
Rh  0.5000  0.5000  0.5000  8 Os 2.76
Os  0.2500  0.2500  0.2500  4 Zr 2.76, 4 Rh 2.76
Os  0.7500  0.7500  0.7500  4 Zr 2.76, 4 Rh 2.76

Results
Crystal system   cubic
Relative energy among the computed polymorphs   421 meV per atom
DOS at the Fermi energy   7.0 states/eV/f.u.